(1)
Density functional theory data (GGA-PBE) for a relaxed PmMgZn5Pt2 crystal.

CIF file:
```
data_PmMgZn5Pt2
_cell_length_a 4.802
_cell_length_b 4.802
_cell_length_c 7.623
_cell_angle_alpha 90.00
_cell_angle_beta 90.00
_cell_angle_gamma 90.00
_space_group_name_H-M_alt 'P 4/m m m'
_space_group_IT_number 123
_space_group_name_Hall '-P 4 2'
loop_
_atom_site_label
_atom_site_type_symbol
_atom_site_fract_x
_atom_site_fract_y
_atom_site_fract_z
Pm1 Pm 0.000 0.000 0.000
Mg1 Mg 0.000 0.000 0.500
Zn1 Zn 0.000 0.500 0.261
Zn2 Zn 0.500 0.500 0.000
Pt1 Pt 0.500 0.500 0.325
```

Energy of formation from the pure elements, meV per atom: -275
Crystal system: tetragonal
DFT total energy, eV/cell: -27.27

---

(2)
Density functional theory data (GGA-PBE) for a relaxed RbHfZr3 crystal.

CIF file:
```
data_RbHfZr3
_cell_length_a 5.027
_cell_length_b 5.027
_cell_length_c 5.027
_cell_angle_alpha 90.00
_cell_angle_beta 90.00
_cell_angle_gamma 90.00
_space_group_name_H-M_alt 'P m -3 m'
_space_group_IT_number 221
_space_group_name_Hall '-P 4 2 3'
loop_
_atom_site_label
_atom_site_type_symbol
_atom_site_fract_x
_atom_site_fract_y
_atom_site_fract_z
Rb1 Rb 0.000 0.000 0.000
Hf1 Hf 0.500 0.500 0.500
Zr1 Zr 0.000 0.000 0.500
```

Energy of formation from the pure elements, meV per atom: 1935
Offset from the most stable computed form, meV per atom: 736.6
Crystal system: cubic
DFT total energy, eV/cell: -26.89

---

(3)
Density functional theory data (GGA-PBE) for a relaxed Er4MgPb2 crystal.

CIF file:
```
data_Er4MgPb2
_cell_length_a 8.527
_cell_length_b 9.914
_cell_length_c 4.813
_cell_angle_alpha 90.00
_cell_angle_beta 90.00
_cell_angle_gamma 90.00
_space_group_name_H-M_alt 'C m m m'
_space_group_IT_number 65
_space_group_name_Hall '-C 2 2'
loop_
_atom_site_label
_atom_site_type_symbol
_atom_site_fract_x
_atom_site_fract_y
_atom_site_fract_z
Er1 Er 0.228 0.000 0.000
Er2 Er 0.250 0.250 0.500
Mg1 Mg 0.000 0.500 0.500
Pb1 Pb 0.000 0.265 0.000
```

Energy of formation from the pure elements, meV per atom: -223
Crystal system: orthorhombic
DFT total energy, eV/cell: -57.65

---

(4)
Density functional theory data (GGA-PBE) for a relaxed Cs4PrI6 crystal.

CIF file:
```
data_Cs4PrI6
_cell_length_a 10.472
_cell_length_b 10.472
_cell_length_c 10.900
_cell_angle_alpha 90.00
_cell_angle_beta 90.00
_cell_angle_gamma 90.00
_space_group_name_H-M_alt 'P 4/m n c'
_space_group_IT_number 128
_space_group_name_Hall '-P 4 2n'
loop_
_atom_site_label
_atom_site_type_symbol
_atom_site_fract_x
_atom_site_fract_y
_atom_site_fract_z
Cs1 Cs 0.167 0.333 0.250
Pr1 Pr 0.000 0.000 0.000
I1 I 0.000 0.000 0.293
I2 I 0.100 0.701 0.000
```

E_form (uncorrected), eV/atom: -1.43
Crystal system: tetragonal
DFT total energy, eV/cell: -66.37

---

(5)
Density functional theory data (GGA-PBE) for a relaxed SiPt2Pb crystal.

CIF file:
```
data_SiPt2Pb
_cell_length_a 4.973
_cell_length_b 4.973
_cell_length_c 14.598
_cell_angle_alpha 90.00
_cell_angle_beta 90.00
_cell_angle_gamma 90.00
_space_group_name_H-M_alt 'I -4 2 d'
_space_group_IT_number 122
_space_group_name_Hall 'I -4 2bw'
loop_
_atom_site_label
_atom_site_type_symbol
_atom_site_fract_x
_atom_site_fract_y
_atom_site_fract_z
Si1 Si 0.000 0.000 0.000
Pt1 Pt 0.161 0.250 0.125
Pb1 Pb 0.000 0.000 0.500
```

E_form (uncorrected), eV/atom: -0.18
Crystal system: tetragonal
DFT total energy, eV/cell: -87.68

---

(6)
Density functional theory data (GGA-PBE) for a relaxed Na3MgW crystal.

CIF file:
```
data_Na3MgW
_cell_length_a 5.637
_cell_length_b 5.637
_cell_length_c 5.637
_cell_angle_alpha 90.00
_cell_angle_beta 90.00
_cell_angle_gamma 90.00
_space_group_name_H-M_alt 'P m -3 m'
_space_group_IT_number 221
_space_group_name_Hall '-P 4 2 3'
loop_
_atom_site_label
_atom_site_type_symbol
_atom_site_fract_x
_atom_site_fract_y
_atom_site_fract_z
Na1 Na 0.000 0.000 0.500
Mg1 Mg 0.000 0.000 0.000
W1 W 0.500 0.500 0.500
```

Energy of formation from the pure elements, meV per atom: 1610
Offset from the most stable computed form, meV per atom: 88.3
Crystal system: cubic
DFT total energy, eV/cell: -10.45

---

(7)
Density functional theory data (GGA-PBE) for a relaxed Hg2HPd2 crystal.

CIF file:
```
data_Hg2HPd2
_cell_length_a 5.798
_cell_length_b 10.982
_cell_length_c 5.066
_cell_angle_alpha 90.00
_cell_angle_beta 90.00
_cell_angle_gamma 90.00
_space_group_name_H-M_alt 'I b a m'
_space_group_IT_number 72
_space_group_name_Hall '-I 2 2c'
loop_
_atom_site_label
_atom_site_type_symbol
_atom_site_fract_x
_atom_site_fract_y
_atom_site_fract_z
Hg1 Hg 0.145 0.144 0.000
H1 H 0.000 0.500 0.250
Pd1 Pd 0.150 0.399 0.000
```

Offset from the most stable computed form, meV per atom: 0.0
Crystal system: orthorhombic
DFT total energy, eV/cell: -58.12

---

(8)
Density functional theory data (GGA-PBE) for a relaxed NaTaBi2O8 crystal.

CIF file:
```
data_NaTaBi2O8
_cell_length_a 4.962
_cell_length_b 6.682
_cell_length_c 4.968
_cell_angle_alpha 90.00
_cell_angle_beta 91.98
_cell_angle_gamma 90.00
_space_group_name_H-M_alt 'P 1 2/m 1'
_space_group_IT_number 10
loop_
_space_group_symop_operation_xyz
'x,y,z'
'-x,-y,-z'
'-x,y,-z'
'x,-y,z'
loop_
_atom_site_label
_atom_site_type_symbol
_atom_site_fract_x
_atom_site_fract_y
_atom_site_fract_z
Na1 Na 0.000 0.000 0.000
Ta1 Ta 0.000 0.500 0.000
Bi1 Bi 0.500 0.247 0.500
O1 O 0.195 0.286 0.194
O2 O 0.294 0.500 0.705
O3 O 0.310 0.000 0.688
```

E_form (uncorrected), eV/atom: -1.48
Crystal system: monoclinic
DFT total energy, eV/cell: -78.38

---

What is the DFT total energy in the eighth record?
-78.38 eV/cell